Entry 1:
The following is a PBE calculation of a relaxed structure of B2C, from Alexandria. Values from VASP.

The structure in Quantum ESPRESSO input format:
```
&SYSTEM
  ibrav = 0, nat = 12, ntyp = 2
/
ATOMIC_SPECIES
B 10.81 B.upf
C 12.01 C.upf
ATOMIC_POSITIONS crystal
B 0.000 0.000 0.000
B 0.001 0.001 0.736
B 0.037 0.037 0.450
B 0.333 0.333 0.143
B 0.336 0.336 0.683
B 0.513 0.513 0.861
B 0.624 0.624 0.252
B 0.685 0.685 0.808
C 0.163 0.163 0.671
C 0.168 0.168 0.185
C 0.497 0.497 0.347
C 0.827 0.827 0.011
CELL_PARAMETERS angstrom
4.514 -1.378 0.000
4.514 1.378 0.000
-3.125 0.000 7.137
```

Values from the calculation:
The value obtained for the formation energy from the elements is 0.358 eV per atom. The calculation puts the excess energy over the best structure of this formula in the dataset at 172.4 meV/atom.

Entry 2:
The following is a PBE calculation of a relaxed structure of LaU2O6, from Alexandria. Values from VASP.

The structure in Quantum ESPRESSO input format:
```
&SYSTEM
  ibrav = 0, nat = 9, ntyp = 3
/
ATOMIC_SPECIES
La 138.91 La.upf
U 238.03 U.upf
O 16.00 O.upf
ATOMIC_POSITIONS crystal
La 0.000 0.000 0.000
U 0.333 0.333 0.000
U 0.667 0.667 0.000
O 0.085 0.825 0.260
O 0.271 0.500 0.771
O 0.435 0.175 0.260
O 0.565 0.825 0.740
O 0.729 0.500 0.229
O 0.915 0.175 0.740
CELL_PARAMETERS angstrom
-1.946 2.758 5.746
1.946 -2.758 5.746
1.946 2.758 -5.746
```

Values from the calculation:
The calculation puts the excess energy over the best structure of this formula in the dataset at 20.9 meV/atom.

Entry 3:
The following is a PBE calculation of a relaxed structure of Pr2GdTi, from Alexandria. Values from VASP.

The structure in Quantum ESPRESSO input format:
```
&SYSTEM
  ibrav = 0, nat = 4, ntyp = 3
/
ATOMIC_SPECIES
Pr 140.91 Pr.upf
Gd 157.25 Gd.upf
Ti 47.87 Ti.upf
ATOMIC_POSITIONS crystal
Pr 0.083 0.083 0.083
Pr 0.917 0.917 0.917
Gd 0.500 0.500 0.500
Ti 0.000 0.000 0.000
CELL_PARAMETERS angstrom
1.713 0.989 12.023
-1.713 0.989 12.023
0.000 -1.978 12.023
```

Values from the calculation:
The value obtained for the formation energy from the elements is 0.465 eV per atom. The calculation puts the excess energy over the best structure of this formula in the dataset at 273.2 meV/atom.

Entry 4:
The following is a PBE calculation of a relaxed structure of PmGdOs, from Alexandria. Values from VASP.

The structure in Quantum ESPRESSO input format:
```
&SYSTEM
  ibrav = 0, nat = 3, ntyp = 3
/
ATOMIC_SPECIES
Pm 145.00 Pm.upf
Gd 157.25 Gd.upf
Os 190.23 Os.upf
ATOMIC_POSITIONS crystal
Pm 0.000 0.000 0.000
Gd 0.751 0.751 0.000
Os 0.373 0.373 0.000
CELL_PARAMETERS angstrom
-1.728 1.728 6.751
1.728 -1.728 6.751
1.728 1.728 -6.751
```

Values from the calculation:
The value obtained for the formation energy from the elements is -0.121 eV per atom. The calculation puts the excess energy over the best structure of this formula in the dataset at 2.2 meV/atom.

The calculation returns the following volume values, one per record and in order: 88.77, 123.41, 122.24, 80.65 Å³/cell.